# 1
# SiSbCl2 SCAN PBEsol geometry
# **Formation energy (no corrections)**: 96 meV/atom
# **VASP energy**: -15.7125 eV/atom
# **D(E_F)**: 0.276 states/eV per atom
data_SiSbCl2
_space_group_name_H-M_alt 'P m m m'
_space_group_IT_number 47
_cell_length_a 3.252
_cell_length_b 4.586
_cell_length_c 5.524
_cell_angle_alpha 90.00
_cell_angle_beta 90.00
_cell_angle_gamma 90.00
loop_
_space_group_symop_operation_xyz
'x,y,z'
'-x,-y,-z'
'-x,-y,z'
'x,y,-z'
'x,-y,-z'
'-x,y,z'
'-x,y,-z'
'x,-y,z'
loop_
_atom_site_label
_atom_site_fract_x
_atom_site_fract_y
_atom_site_fract_z
Si1 0.000 0.000 0.000
Sb1 0.500 0.000 0.500
Cl1 0.000 0.500 0.500
Cl2 0.500 0.500 0.000

***

# 2
# SiSbCl2 SCAN PBEsol geometry
# **Formation energy (no corrections)**: 31 meV/atom
# **VASP energy**: -15.7775 eV/atom
# **D(E_F)**: 0.473 states/eV per atom
data_SiSbCl2
_space_group_name_H-M_alt 'R 3 m'
_space_group_IT_number 160
_space_group_name_Hall 'R 3 -2"'
_cell_length_a 3.3104
_cell_length_b 3.3104
_cell_length_c 27.4815
_cell_angle_alpha 90.00
_cell_angle_beta 90.00
_cell_angle_gamma 120.00
loop_
_atom_site_label
_atom_site_fract_x
_atom_site_fract_y
_atom_site_fract_z
Si1 0.0000 0.0000 0.0000
Sb1 0.0000 0.0000 0.7516
Cl1 0.0000 0.0000 0.2715
Cl2 0.0000 0.0000 0.4948

***

# 3
# SiSbTe2Cl SCAN PBEsol geometry
# **Formation energy (no corrections)**: 462 meV/atom
# **VASP energy**: -25.4888 eV/atom
# **D(E_F)**: 0.826 states/eV per atom
data_SiSbTe2Cl
_space_group_name_H-M_alt 'P 4/m m m'
_space_group_IT_number 123
_space_group_name_Hall '-P 4 2'
_cell_length_a 5.148
_cell_length_b 5.148
_cell_length_c 5.248
_cell_angle_alpha 90.00
_cell_angle_beta 90.00
_cell_angle_gamma 90.00
loop_
_atom_site_label
_atom_site_fract_x
_atom_site_fract_y
_atom_site_fract_z
Si1 0.000 0.000 0.000
Sb1 0.000 0.000 0.500
Te1 0.000 0.500 0.000
Cl1 0.500 0.500 0.500

***

# 4
# Y2SnSbCl SCAN PBEsol geometry
# **Formation energy (no corrections)**: -26 meV/atom
# **VASP energy**: -27.3954 eV/atom
# **D(E_F)**: 0.959 states/eV per atom
data_Y2SnSbCl
_space_group_name_H-M_alt 'P 4/m m m'
_space_group_IT_number 123
_space_group_name_Hall '-P 4 2'
_cell_length_a 5.720
_cell_length_b 5.720
_cell_length_c 5.484
_cell_angle_alpha 90.00
_cell_angle_beta 90.00
_cell_angle_gamma 90.00
loop_
_atom_site_label
_atom_site_fract_x
_atom_site_fract_y
_atom_site_fract_z
Y1 0.000 0.500 0.000
Sn1 0.000 0.000 0.500
Sb1 0.000 0.000 0.000
Cl1 0.500 0.500 0.500

***

# 5
# Sr2SbCl SCAN PBEsol geometry
# **Formation energy (no corrections)**: -1712 meV/atom
# **VASP energy**: -24.1597 eV/atom
data_Sr2SbCl
_space_group_name_H-M_alt 'P m m 2'
_space_group_IT_number 25
_cell_length_a 4.604
_cell_length_b 6.304
_cell_length_c 4.596
_cell_angle_alpha 90.00
_cell_angle_beta 90.00
_cell_angle_gamma 90.00
loop_
_space_group_symop_operation_xyz
'x,y,z'
'-x,-y,z'
'-x,y,z'
'x,-y,z'
loop_
_atom_site_label
_atom_site_fract_x
_atom_site_fract_y
_atom_site_fract_z
Sr1 0.000 0.000 0.000
Sr2 0.500 0.500 0.470
Sb1 0.000 0.500 0.966
Cl1 0.500 0.000 0.465

***

# 6
# Sr2SbCl SCAN PBEsol geometry
# **Formation energy (no corrections)**: -1645 meV/atom
# **VASP energy**: -24.0927 eV/atom
# **D(E_F)**: 0.000 states/eV per atom
data_Sr2SbCl
_space_group_name_H-M_alt 'I m m m'
_space_group_IT_number 71
_space_group_name_Hall '-I 2 2'
_cell_length_a 5.432
_cell_length_b 5.625
_cell_length_c 7.826
_cell_angle_alpha 90.00
_cell_angle_beta 90.00
_cell_angle_gamma 90.00
loop_
_atom_site_label
_atom_site_fract_x
_atom_site_fract_y
_atom_site_fract_z
Sr1 0.000 0.000 0.246
Sb1 0.000 0.500 0.000
Cl1 0.000 0.500 0.500

***

# 7
# SrSb4Cl SCAN PBEsol geometry
# **Formation energy (no corrections)**: -462 meV/atom
# **VASP energy**: -30.3442 eV/atom
# **D(E_F)**: 0.893 states/eV per atom
data_SrSb4Cl
_space_group_name_H-M_alt 'F -4 3 m'
_space_group_IT_number 216
_space_group_name_Hall 'F -4 2 3'
_cell_length_a 8.839
_cell_length_b 8.839
_cell_length_c 8.839
_cell_angle_alpha 90.00
_cell_angle_beta 90.00
_cell_angle_gamma 90.00
loop_
_atom_site_label
_atom_site_fract_x
_atom_site_fract_y
_atom_site_fract_z
Sr1 0.000 0.000 0.000
Sb1 0.120 0.120 0.620
Cl1 0.250 0.250 0.250

***

# 8
# TcSb2Cl SCAN PBEsol geometry
# **Formation energy (no corrections)**: 305 meV/atom
# **VASP energy**: -29.0845 eV/atom
# **D(E_F)**: 0.540 states/eV per atom
data_TcSb2Cl
_space_group_name_H-M_alt 'C 1 2/m 1'
_space_group_IT_number 12
_cell_length_a 7.753
_cell_length_b 7.413
_cell_length_c 3.112
_cell_angle_alpha 90.00
_cell_angle_beta 112.81
_cell_angle_gamma 90.00
loop_
_space_group_symop_operation_xyz
'x,y,z'
'-x,-y,-z'
'-x,y,-z'
'x,-y,z'
'x+1/2,y+1/2,z'
'-x+1/2,-y+1/2,-z'
'-x+1/2,y+1/2,-z'
'x+1/2,-y+1/2,z'
loop_
_atom_site_label
_atom_site_fract_x
_atom_site_fract_y
_atom_site_fract_z
Tc1 0.000 0.000 0.000
Sb1 0.250 0.250 0.500
Cl1 0.000 0.500 0.000

***

# 9
# TcSb2Cl SCAN PBEsol geometry
# **Formation energy (no corrections)**: 8 meV/atom
# **VASP energy**: -29.3817 eV/atom
# **D(E_F)**: 0.386 states/eV per atom
data_TcSb2Cl
_space_group_name_H-M_alt 'A m m 2'
_space_group_IT_number 38
_cell_length_a 3.339
_cell_length_b 5.251
_cell_length_c 9.792
_cell_angle_alpha 90.00
_cell_angle_beta 90.00
_cell_angle_gamma 90.00
loop_
_space_group_symop_operation_xyz
'x,y,z'
'-x,-y,z'
'-x,y,z'
'x,-y,z'
'x,y+1/2,z+1/2'
'-x,-y+1/2,z+1/2'
'-x,y+1/2,z+1/2'
'x,-y+1/2,z+1/2'
loop_
_atom_site_label
_atom_site_fract_x
_atom_site_fract_y
_atom_site_fract_z
Tc1 0.000 0.000 0.000
Sb1 0.000 0.000 0.514
Sb2 0.500 0.000 0.800
Cl1 0.500 0.000 0.199

***

# 10
# TcSb2Cl SCAN PBEsol geometry
# **Formation energy (no corrections)**: 699 meV/atom
# **VASP energy**: -28.6910 eV/atom
# **D(E_F)**: 0.679 states/eV per atom
data_TcSb2Cl
_space_group_name_H-M_alt 'P 4/m m m'
_space_group_IT_number 123
_space_group_name_Hall '-P 4 2'
_cell_length_a 4.148
_cell_length_b 4.148
_cell_length_c 4.975
_cell_angle_alpha 90.00
_cell_angle_beta 90.00
_cell_angle_gamma 90.00
loop_
_atom_site_label
_atom_site_fract_x
_atom_site_fract_y
_atom_site_fract_z
Tc1 0.000 0.000 0.000
Sb1 0.000 0.500 0.500
Cl1 0.500 0.500 0.000

***

# 11
# TcSb2Cl SCAN PBEsol geometry
# **Formation energy (no corrections)**: 354 meV/atom
# **VASP energy**: -29.0355 eV/atom
# **D(E_F)**: 0.892 states/eV per atom
data_TcSb2Cl
_space_group_name_H-M_alt 'C m m 2'
_space_group_IT_number 35
_cell_length_a 3.042
_cell_length_b 5.426
_cell_length_c 10.595
_cell_angle_alpha 90.00
_cell_angle_beta 90.00
_cell_angle_gamma 90.00
loop_
_space_group_symop_operation_xyz
'x,y,z'
'-x,-y,z'
'-x,y,z'
'x,-y,z'
'x+1/2,y+1/2,z'
'-x+1/2,-y+1/2,z'
'-x+1/2,y+1/2,z'
'x+1/2,-y+1/2,z'
loop_
_atom_site_label
_atom_site_fract_x
_atom_site_fract_y
_atom_site_fract_z
Tc1 0.000 0.000 0.000
Sb1 0.000 0.000 0.470
Sb2 0.000 0.500 0.780
Cl1 0.000 0.500 0.168

***

# 12
# TcSbCl3 SCAN PBEsol geometry
# **Formation energy (no corrections)**: 431 meV/atom
# **VASP energy**: -18.8196 eV/atom
# **D(E_F)**: 0.870 states/eV per atom
data_TcSbCl3
_space_group_name_H-M_alt 'P m -3 m'
_space_group_IT_number 221
_space_group_name_Hall '-P 4 2 3'
_cell_length_a 5.326
_cell_length_b 5.326
_cell_length_c 5.326
_cell_angle_alpha 90.00
_cell_angle_beta 90.00
_cell_angle_gamma 90.00
loop_
_atom_site_label
_atom_site_fract_x
_atom_site_fract_y
_atom_site_fract_z
Tc1 0.000 0.000 0.000
Sb1 0.500 0.500 0.500
Cl1 0.000 0.500 0.500

***

# 13
# TcSbCl SCAN PBEsol geometry
# **Formation energy (no corrections)**: 854 meV/atom
# **VASP energy**: -25.9126 eV/atom
# **D(E_F)**: 0.386 states/eV per atom
data_TcSbCl
_space_group_name_H-M_alt 'F -4 3 m'
_space_group_IT_number 216
_space_group_name_Hall 'F -4 2 3'
_cell_length_a 6.587
_cell_length_b 6.587
_cell_length_c 6.587
_cell_angle_alpha 90.00
_cell_angle_beta 90.00
_cell_angle_gamma 90.00
loop_
_atom_site_label
_atom_site_fract_x
_atom_site_fract_y
_atom_site_fract_z
Tc1 0.000 0.000 0.000
Sb1 0.250 0.250 0.250
Cl1 0.000 0.000 0.500

***

# 14
# Tc4SbCl SCAN PBEsol geometry
# **Formation energy (no corrections)**: 932 meV/atom
# **VASP energy**: -29.9807 eV/atom
# **D(E_F)**: 1.049 states/eV per atom
data_Tc4SbCl
_space_group_name_H-M_alt 'F -4 3 m'
_space_group_IT_number 216
_space_group_name_Hall 'F -4 2 3'
_cell_length_a 7.333
_cell_length_b 7.333
_cell_length_c 7.333
_cell_angle_alpha 90.00
_cell_angle_beta 90.00
_cell_angle_gamma 90.00
loop_
_atom_site_label
_atom_site_fract_x
_atom_site_fract_y
_atom_site_fract_z
Tc1 0.125 0.125 0.125
Sb1 0.250 0.250 0.750
Cl1 0.000 0.000 0.500

***

# 15
# TcSb2Cl SCAN PBEsol geometry
# **Formation energy (no corrections)**: 331 meV/atom
# **VASP energy**: -29.0587 eV/atom
# **D(E_F)**: 0.401 states/eV per atom
data_TcSb2Cl
_space_group_name_H-M_alt 'I -4 2 d'
_space_group_IT_number 122
_space_group_name_Hall 'I -4 2bw'
_cell_length_a 6.337
_cell_length_b 6.337
_cell_length_c 12.151
_cell_angle_alpha 90.00
_cell_angle_beta 90.00
_cell_angle_gamma 90.00
loop_
_atom_site_label
_atom_site_fract_x
_atom_site_fract_y
_atom_site_fract_z
Tc1 0.000 0.000 0.000
Sb1 0.182 0.250 0.125
Cl1 0.000 0.000 0.500

***

# 16
# TcSb2TeCl SCAN PBEsol geometry
# **Formation energy (no corrections)**: 1420 meV/atom
# **VASP energy**: -29.5417 eV/atom
# **D(E_F)**: 0.870 states/eV per atom
data_TcSb2TeCl
_space_group_name_H-M_alt 'P 4/m m m'
_space_group_IT_number 123
_space_group_name_Hall '-P 4 2'
_cell_length_a 5.185
_cell_length_b 5.185
_cell_length_c 5.103
_cell_angle_alpha 90.00
_cell_angle_beta 90.00
_cell_angle_gamma 90.00
loop_
_atom_site_label
_atom_site_fract_x
_atom_site_fract_y
_atom_site_fract_z
Tc1 0.000 0.000 0.000
Sb1 0.000 0.500 0.500
Te1 0.500 0.500 0.000
Cl1 0.500 0.500 0.500

***

# 17
# SbTeCl SCAN PBEsol geometry
# **Formation energy (no corrections)**: -141 meV/atom
# **VASP energy**: -27.6377 eV/atom
# **D(E_F)**: 0.193 states/eV per atom
data_SbTeCl
_space_group_name_H-M_alt 'I m m 2'
_space_group_IT_number 44
_cell_length_a 3.189
_cell_length_b 4.851
_cell_length_c 12.599
_cell_angle_alpha 90.00
_cell_angle_beta 90.00
_cell_angle_gamma 90.00
loop_
_space_group_symop_operation_xyz
'x,y,z'
'-x,-y,z'
'-x,y,z'
'x,-y,z'
'x+1/2,y+1/2,z+1/2'
'-x+1/2,-y+1/2,z+1/2'
'-x+1/2,y+1/2,z+1/2'
'x+1/2,-y+1/2,z+1/2'
loop_
_atom_site_label
_atom_site_fract_x
_atom_site_fract_y
_atom_site_fract_z
Sb1 0.000 0.000 0.000
Te1 0.000 0.000 0.786
Cl1 0.000 0.000 0.513

***

# 18
# TlSb2TeCl SCAN PBEsol geometry
# **Formation energy (no corrections)**: 759 meV/atom
# **VASP energy**: -37.6631 eV/atom
# **D(E_F)**: 0.657 states/eV per atom
data_TlSb2TeCl
_space_group_name_H-M_alt 'P 4/m m m'
_space_group_IT_number 123
_space_group_name_Hall '-P 4 2'
_cell_length_a 5.640
_cell_length_b 5.640
_cell_length_c 5.592
_cell_angle_alpha 90.00
_cell_angle_beta 90.00
_cell_angle_gamma 90.00
loop_
_atom_site_label
_atom_site_fract_x
_atom_site_fract_y
_atom_site_fract_z
Tl1 0.000 0.000 0.000
Sb1 0.000 0.500 0.000
Te1 0.000 0.000 0.500
Cl1 0.500 0.500 0.500

***

# 19
# Sb2TeWCl SCAN PBEsol geometry
# **Formation energy (no corrections)**: 365 meV/atom
# **VASP energy**: -37.5229 eV/atom
# **D(E_F)**: 0.939 states/eV per atom
data_Sb2TeWCl
_space_group_name_H-M_alt 'P 4/m m m'
_space_group_IT_number 123
_space_group_name_Hall '-P 4 2'
_cell_length_a 5.209
_cell_length_b 5.209
_cell_length_c 5.126
_cell_angle_alpha 90.00
_cell_angle_beta 90.00
_cell_angle_gamma 90.00
loop_
_atom_site_label
_atom_site_fract_x
_atom_site_fract_y
_atom_site_fract_z
Sb1 0.000 0.500 0.000
Te1 0.000 0.000 0.500
W1 0.000 0.000 0.000
Cl1 0.500 0.500 0.500

***

# 20
# ZrSb2TeCl SCAN PBEsol geometry
# **Formation energy (no corrections)**: 725 meV/atom
# **VASP energy**: -29.3647 eV/atom
# **D(E_F)**: 0.873 states/eV per atom
data_ZrSb2TeCl
_space_group_name_H-M_alt 'P 4/m m m'
_space_group_IT_number 123
_space_group_name_Hall '-P 4 2'
_cell_length_a 5.029
_cell_length_b 5.029
_cell_length_c 5.353
_cell_angle_alpha 90.00
_cell_angle_beta 90.00
_cell_angle_gamma 90.00
loop_
_atom_site_label
_atom_site_fract_x
_atom_site_fract_y
_atom_site_fract_z
Zr1 0.000 0.000 0.000
Sb1 0.000 0.500 0.500
Te1 0.500 0.500 0.000
Cl1 0.500 0.500 0.500